Entry from Alexandria via LeMat-Bulk: a relaxed structure of SrSc2Rh (PBE).

Output
energy of formation: 15.6 meV per atom
N(E_F): 1.24 states/eV per atom
final energy: -21.63 eV per cell
symmetry: Fm-3m, No. 225
energy above the lowest structure with this stoichiometry: 1.32 eV per formula unit

extended XYZ file:
```
4
Lattice="0.000 3.540 3.540 3.540 0.000 3.540 3.540 3.540 0.000" Properties=species:S:1:pos:R:3 pbc="T T T"
Sc 5.311 5.311 5.311
Sc 1.770 1.770 1.770
Rh 3.540 3.540 3.540
Sr 0.000 0.000 0.000
```

=====

Entry from Alexandria via LeMat-Bulk: a relaxed structure of SrSc2Rh (PBE).

Output
energy of formation: 139.7 meV per atom
N(E_F): 1.25 states/eV per atom
final energy: -21.14 eV per cell
symmetry: I-4m2, No. 119
energy above the lowest structure with this stoichiometry: 1.82 eV per formula unit

extended XYZ file:
```
4
Lattice="5.869 0.038 0.000 2.706 5.208 0.000 -4.287 -2.623 3.030" Properties=species:S:1:pos:R:3 pbc="T T T"
Sc 0.000 0.000 0.000
Sc 1.353 2.604 1.515
Sr 4.287 2.623 0.000
Rh 2.934 0.019 1.515
```

=====

Entry from Alexandria via LeMat-Bulk: a relaxed structure of SrSc2Rh (PBE).

Output
energy of formation: -271.9 meV per atom
N(E_F): 0.84 states/eV per atom
final energy: -22.78 eV per cell
symmetry: Pm, No. 6
energy above the lowest structure with this stoichiometry: 0.17 eV per formula unit

extended XYZ file:
```
4
Lattice="3.623 0.000 0.000 0.000 3.841 -0.077 0.000 2.090 7.933" Properties=species:S:1:pos:R:3 pbc="T T T"
Sc 1.811 1.711 1.404
Sc 0.000 5.680 7.278
Sr 0.000 3.689 4.134
Rh 1.811 3.749 6.824
```

=====

Entry from Alexandria via LeMat-Bulk: a relaxed structure of Sr3ScRh (PBE).

Output
energy of formation: 1234.7 meV per atom
N(E_F): 2.30 states/eV per atom
final energy: -12.55 eV per cell
symmetry: Pm-3m, No. 221
energy above the lowest structure with this stoichiometry: 5.36 eV per formula unit

extended XYZ file:
```
5
Lattice="-5.114 2.802 1.484 -2.647 -5.323 0.927 1.744 0.135 5.757" Properties=species:S:1:pos:R:3 pbc="T T T"
Sr -1.324 -2.662 0.464
Sr -2.557 1.401 0.742
Sr 0.872 0.068 2.878
Sc 0.000 0.000 0.000
Rh -3.008 -1.193 4.084
```

=====

Entry from Alexandria via LeMat-Bulk: a relaxed structure of SrSc2Rh (PBE).

Output
energy of formation: 350.9 meV per atom
N(E_F): 1.72 states/eV per atom
final energy: -20.29 eV per cell
symmetry: R-3m, No. 166
energy above the lowest structure with this stoichiometry: 2.66 eV per formula unit

extended XYZ file:
```
4
Lattice="1.915 0.000 10.883 -0.958 1.659 10.883 -0.958 -1.659 10.883" Properties=species:S:1:pos:R:3 pbc="T T T"
Rh 0.000 0.000 0.000
Sr 0.000 0.000 16.324
Sc 0.000 0.000 2.343
Sc 0.000 0.000 30.305
```

=====

Entry from Alexandria via LeMat-Bulk: a relaxed structure of SrSc2Rh (PBE).

Output
energy of formation: -315.3 meV per atom
N(E_F): 1.02 states/eV per atom
final energy: -22.96 eV per cell
symmetry: P2/m, No. 10
energy above the lowest structure with this stoichiometry: 0.00 eV per formula unit

extended XYZ file:
```
4
Lattice="3.366 0.000 0.000 0.000 3.364 0.006 0.000 3.334 9.085" Properties=species:S:1:pos:R:3 pbc="T T T"
Sc 0.000 3.339 8.305
Sc 0.000 3.344 5.325
Sr 1.683 1.675 2.273
Rh 1.683 5.024 6.818
```

=====

Entry from Alexandria via LeMat-Bulk: a relaxed structure of SrSc2Rh (PBE).

Output
energy of formation: 131.6 meV per atom
N(E_F): 1.65 states/eV per atom
final energy: -21.17 eV per cell
symmetry: F-43m, No. 216
energy above the lowest structure with this stoichiometry: 1.79 eV per formula unit

extended XYZ file:
```
4
Lattice="5.082 0.000 0.000 2.541 4.401 0.000 2.541 1.467 4.150" Properties=species:S:1:pos:R:3 pbc="T T T"
Sc 2.541 1.467 1.037
Sc 0.000 0.000 0.000
Sr 7.623 4.401 3.112
Rh 5.082 2.934 2.075
```

=====

Entry from Alexandria via LeMat-Bulk: a relaxed structure of SrSc2Rh (PBE).

Output
energy of formation: -246.6 meV per atom
N(E_F): 1.05 states/eV per atom
final energy: -22.68 eV per cell
symmetry: Immm, No. 71
energy above the lowest structure with this stoichiometry: 0.27 eV per formula unit

extended XYZ file:
```
4
Lattice="-5.401 -2.908 0.009 -2.940 -5.340 -0.681 -1.419 -2.759 4.666" Properties=species:S:1:pos:R:3 pbc="T T T"
Sc -5.301 -5.837 1.672
Sc -7.919 -7.914 -0.347
Sr -7.319 -8.255 2.995
Rh -2.440 -2.752 0.998
```

=====

Entry from Alexandria via LeMat-Bulk: a relaxed structure of SrSc2Rh (PBE).

Output
energy of formation: -250.8 meV per atom
N(E_F): 1.00 states/eV per atom
final energy: -22.70 eV per cell
symmetry: P4mm, No. 99
energy above the lowest structure with this stoichiometry: 0.26 eV per formula unit

extended XYZ file:
```
4
Lattice="3.651 -0.012 0.000 0.012 3.651 0.000 0.000 0.000 7.994" Properties=species:S:1:pos:R:3 pbc="T T T"
Sc 0.000 0.000 7.511
Sc 1.831 1.819 1.448
Sr 0.000 0.000 4.249
Rh 1.831 1.819 6.776
```

=====

Entry from Alexandria via LeMat-Bulk: a relaxed structure of SrScRh3 (PBE).

Output
energy of formation: 128.0 meV per atom
N(E_F): 1.45 states/eV per atom
final energy: -29.43 eV per cell
symmetry: Pm-3m, No. 221
energy above the lowest structure with this stoichiometry: 0.00 eV per formula unit

extended XYZ file:
```
5
Lattice="4.803 0.000 0.000 0.000 4.803 0.000 0.000 0.000 4.803" Properties=species:S:1:pos:R:3 pbc="T T T"
Rh 0.000 0.000 2.401
Rh 2.401 0.000 0.000
Rh 0.000 2.401 0.000
Sc 0.000 0.000 0.000
Sr 2.401 2.401 2.401
```

=====

Entry from Alexandria via LeMat-Bulk: a relaxed structure of SrSc2Rh (PBE).

Output
energy of formation: -138.7 meV per atom
N(E_F): 1.19 states/eV per atom
final energy: -22.25 eV per cell
symmetry: R-3m, No. 166
energy above the lowest structure with this stoichiometry: 0.71 eV per formula unit

extended XYZ file:
```
4
Lattice="2.208 0.000 10.065 -1.104 1.912 10.065 -1.104 -1.912 10.065" Properties=species:S:1:pos:R:3 pbc="T T T"
Sc 0.000 0.000 26.521
Sc 0.000 0.000 3.673
Sr 0.000 0.000 0.000
Rh 0.000 0.000 15.097
```

=====

Entry from Alexandria via LeMat-Bulk: a relaxed structure of SrSc2Rh2 (PBE).

Output
energy of formation: -641.1 meV per atom
N(E_F): 0.28 states/eV per atom
final energy: -32.25 eV per cell
symmetry: I4/mmm, No. 139
energy above the lowest structure with this stoichiometry: 0.00 eV per formula unit

extended XYZ file:
```
5
Lattice="-4.380 0.469 -0.367 -0.508 -4.363 0.495 -2.852 -1.245 5.828" Properties=species:S:1:pos:R:3 pbc="T T T"
Sr 0.000 0.000 0.000
Rh -2.539 -1.785 1.398
Rh -5.202 -3.355 4.559
Sc -2.902 -3.778 3.194
Sc -4.838 -1.362 2.763
```

=====

Entry from Alexandria via LeMat-Bulk: a relaxed structure of Sr2ScRh2 (PBE).

Output
energy of formation: -288.0 meV per atom
N(E_F): 1.23 states/eV per atom
final energy: -51.68 eV per cell
symmetry: P4/mbm, No. 127

extended XYZ file:
```
10
Lattice="7.135 0.000 0.000 0.000 7.135 0.000 0.000 0.000 4.895" Properties=species:S:1:pos:R:3 pbc="T T T"
Rh 4.492 0.924 0.000
Rh 6.211 4.492 0.000
Rh 0.924 2.643 0.000
Rh 2.643 6.211 0.000
Sc 0.000 0.000 0.000
Sc 3.568 3.568 0.000
Sr 4.802 5.900 2.447
Sr 5.900 2.333 2.447
Sr 2.333 1.235 2.447
Sr 1.235 4.802 2.447
```

=====

Entry from Alexandria via LeMat-Bulk: a relaxed structure of SrScTcRh2 (PBE).

Output
energy of formation: 239.7 meV per atom
N(E_F): 0.92 states/eV per atom
final energy: -31.88 eV per cell
symmetry: P4/mmm, No. 123

extended XYZ file:
```
5
Lattice="-3.621 -3.254 -0.021 2.512 -2.776 -3.112 2.047 -2.302 3.706" Properties=species:S:1:pos:R:3 pbc="T T T"
Sc 1.024 -1.151 1.853
Sr 0.469 -4.166 0.287
Tc 0.000 0.000 0.000
Rh -1.811 -1.627 -0.010
Rh 1.256 -1.388 -1.556
```